This record from the Alexandria database describes a relaxed structure of BaTa2BiAu. The functional is PBE.

Values from the calculation:
For the polymorph energy (0 for the lowest one), the calculation gives 0 meV per atom. The calculation puts the formation energy at 5.37 eV per formula unit. The space group is P4/mmm (123). For the uncorrected energy, the calculation gives -5.483 eV per atom.

Lattice parameters (Å, degrees): 5.105 6.065 5.105 90.00 90.00 90.00
Last column: magnetic moment on the atom in μB.
Fractional coordinates of all 5 atoms:
Ba (0.000, 0.500, 0.000)  0.01
Au (0.000, 0.000, 0.000)  0.02
Bi (0.500, 0.500, 0.500)  -0.13
Ta (0.000, 0.000, 0.500)  0.55
Ta (0.500, 0.000, 0.000)  0.74